No. 1
HSeCl2 | PBE-GGA | relaxed

a b c (Å): 7.558 7.558 7.558
angles (deg): 25.69 25.69 25.69
Sites, in units of the cell vectors:
Cl 0.109 0.109 0.109
Cl 0.891 0.891 0.891
H 0.500 0.500 0.500
Se 0.000 0.000 0.000

Results
Crystal system: trigonal
Calculated density in g cm⁻³: 3.507
E_tot in eV for the cell shown: -8.9
ΔE to the lowest computed polymorph in meV per atom: 163



No. 2
Ce2VSi4Pt3 | PBE-GGA | relaxed

a b c (Å): 4.214 4.214 10.024
angles (deg): 90.00 90.00 90.00
Each line ends with the local moment (μB).
Sites, in units of the cell vectors:
Pt 0.000 0.500 0.121  -0.01
Pt 0.500 0.000 0.879  -0.01
Pt 0.000 0.000 0.500  0.01
Si 0.500 0.000 0.634  -0.04
Si 0.000 0.500 0.366  -0.04
Si 0.000 0.000 0.000  0.00
Si 0.500 0.500 0.000  0.00
Ce 0.000 0.500 0.750  0.39
Ce 0.500 0.000 0.250  0.39
V 0.500 0.500 0.500  1.55

Results
Crystal system: tetragonal
Calculated density in g cm⁻³: 9.598
Formation energy without anion corrections in eV per atom: -0.9849
E_tot in eV for the cell shown: -70.6